1.
# CaSi2Tc, optimized geometry, DFT PBE-GGA
data_CaSi2Tc
_cell_length_a 4.353
_cell_length_b 4.353
_cell_length_c 5.605
_cell_angle_alpha 73.82
_cell_angle_beta 73.82
_cell_angle_gamma 48.20
_symmetry_space_group_name_H-M 'P 1'
_symmetry_Int_Tables_number 1
_symmetry_space_group_name_Hall 'P 1'
loop_
_atom_site_label
_atom_site_fract_x
_atom_site_fract_y
_atom_site_fract_z
_atom_site_occupancy
Ca1 0.250 0.250 0.250 1
Si1 0.021 0.021 0.890 1
Si2 0.479 0.479 0.610 1
Tc1 0.750 0.750 0.750 1
# ΔE_f (raw) ... -0.374 eV per atom
# Fermi-level density of states ... 0.473 states/eV per atom
# Energy above the lowest structure with this stoichiometry ... 0.0820 eV/atom

=====

2.
# Mg2TlCu, optimized geometry, DFT PBE-GGA
data_Mg2TlCu
_cell_length_a 5.442
_cell_length_b 5.442
_cell_length_c 4.777
_cell_angle_alpha 62.43
_cell_angle_beta 62.43
_cell_angle_gamma 40.87
_symmetry_space_group_name_H-M 'P 1'
_symmetry_Int_Tables_number 1
_symmetry_space_group_name_Hall 'P 1'
loop_
_atom_site_label
_atom_site_fract_x
_atom_site_fract_y
_atom_site_fract_z
_atom_site_occupancy
Cu1 0.750 0.750 0.750 1
Mg1 0.022 0.022 0.979 1
Mg2 0.478 0.478 0.521 1
Tl1 0.250 0.250 0.250 1
# Fermi-level density of states ... 0.325 states/eV per atom
# Energy of formation from the pure elements ... 0.055 eV per atom

=====

3.
# ErPuZnGe, optimized geometry, DFT PBE-GGA
data_ErPuZnGe
_cell_length_a 5.014
_cell_length_b 5.014
_cell_length_c 5.014
_cell_angle_alpha 60.00
_cell_angle_beta 60.00
_cell_angle_gamma 60.00
_symmetry_space_group_name_H-M 'P 1'
_symmetry_Int_Tables_number 1
_symmetry_space_group_name_Hall 'P 1'
loop_
_atom_site_label
_atom_site_fract_x
_atom_site_fract_y
_atom_site_fract_z
_atom_site_occupancy
Ge1 0.250 0.250 0.250 1
Er1 0.500 0.500 0.500 1
Zn1 0.750 0.750 0.750 1
Pu1 0.000 0.000 0.000 1
# Fermi-level density of states ... 2.250 states/eV per atom
# Energy of formation from the pure elements ... -0.379 eV per atom

=====

4.
# RbUAg2I8, optimized geometry, DFT PBE-GGA
data_RbUAg2I8
_cell_length_a 7.466
_cell_length_b 7.466
_cell_length_c 10.725
_cell_angle_alpha 88.18
_cell_angle_beta 88.18
_cell_angle_gamma 70.49
_symmetry_space_group_name_H-M 'P 1'
_symmetry_Int_Tables_number 1
_symmetry_space_group_name_Hall 'P 1'
loop_
_atom_site_label
_atom_site_fract_x
_atom_site_fract_y
_atom_site_fract_z
_atom_site_occupancy
Rb1 0.000 0.000 0.500 1
U1 0.000 0.000 0.000 1
Ag1 0.666 0.666 0.233 1
Ag2 0.334 0.334 0.767 1
I1 0.765 0.250 0.805 1
I2 0.757 0.757 0.991 1
I3 0.697 0.697 0.478 1
I4 0.303 0.303 0.522 1
I5 0.243 0.243 0.009 1
I6 0.250 0.765 0.805 1
I7 0.750 0.235 0.195 1
I8 0.235 0.750 0.195 1
# ΔE_f (raw) ... -0.654 eV per atom
# Fermi-level density of states ... 0.378 states/eV per atom

=====

5.
# Al2PtAu, optimized geometry, DFT PBE-GGA
data_Al2PtAu
_cell_length_a 2.883
_cell_length_b 2.883
_cell_length_c 7.770
_cell_angle_alpha 90.00
_cell_angle_beta 90.00
_cell_angle_gamma 89.99
_symmetry_space_group_name_H-M 'P 1'
_symmetry_Int_Tables_number 1
_symmetry_space_group_name_Hall 'P 1'
loop_
_atom_site_label
_atom_site_fract_x
_atom_site_fract_y
_atom_site_fract_z
_atom_site_occupancy
Au1 0.000 0.000 0.489 1
Al1 0.000 0.000 0.984 1
Al2 0.500 0.500 0.247 1
Pt1 0.500 0.500 0.780 1
# Fermi-level density of states ... 0.289 states/eV per atom
# Energy above the lowest structure with this stoichiometry ... 0.3051 eV/atom
# Energy of formation from the pure elements ... -0.393 eV per atom

=====

6.
# La3HfTl3Te8, optimized geometry, DFT PBE-GGA
data_La3HfTl3Te8
_cell_length_a 9.095
_cell_length_b 9.094
_cell_length_c 9.758
_cell_angle_alpha 117.78
_cell_angle_beta 90.00
_cell_angle_gamma 120.00
_symmetry_space_group_name_H-M 'P 1'
_symmetry_Int_Tables_number 1
_symmetry_space_group_name_Hall 'P 1'
loop_
_atom_site_label
_atom_site_fract_x
_atom_site_fract_y
_atom_site_fract_z
_atom_site_occupancy
La1 0.500 0.000 0.500 1
La2 0.500 0.500 0.500 1
La3 0.000 0.500 0.500 1
Hf1 0.000 0.000 0.500 1
Tl1 0.000 0.000 0.000 1
Tl2 0.000 0.500 0.000 1
Tl3 0.500 0.500 0.000 1
Te1 0.258 0.517 0.276 1
Te2 0.742 0.483 0.724 1
Te3 0.778 0.557 0.292 1
Te4 0.222 0.443 0.708 1
Te5 0.778 0.013 0.292 1
Te6 0.222 0.987 0.708 1
Te7 0.235 0.013 0.292 1
Te8 0.765 0.987 0.708 1
# ΔE_f (raw) ... -1.067 eV per atom

=====

7.
# BeTcW, optimized geometry, DFT PBE-GGA
data_BeTcW
_cell_length_a 4.662
_cell_length_b 4.662
_cell_length_c 4.660
_cell_angle_alpha 104.76
_cell_angle_beta 104.76
_cell_angle_gamma 119.38
_symmetry_space_group_name_H-M 'P 1'
_symmetry_Int_Tables_number 1
_symmetry_space_group_name_Hall 'P 1'
loop_
_atom_site_label
_atom_site_fract_x
_atom_site_fract_y
_atom_site_fract_z
_atom_site_occupancy
W1 0.663 0.337 0.000 1
W2 0.337 0.663 0.000 1
Tc1 0.834 0.834 0.667 1
Tc2 0.166 0.166 0.333 1
Be1 0.750 0.250 0.500 1
Be2 0.250 0.750 0.500 1
# Fermi-level density of states ... 0.797 states/eV per atom
# Energy above the lowest structure with this stoichiometry ... 0.0000 eV/atom
# Energy of formation from the pure elements ... -0.159 eV per atom

=====

8.
# Tm2Te3, optimized geometry, DFT PBE-GGA
data_Tm2Te3
_cell_length_a 14.290
_cell_length_b 13.627
_cell_length_c 7.480
_cell_angle_alpha 79.41
_cell_angle_beta 69.62
_cell_angle_gamma 30.97
_symmetry_space_group_name_H-M 'P 1'
_symmetry_Int_Tables_number 1
_symmetry_space_group_name_Hall 'P 1'
loop_
_atom_site_label
_atom_site_fract_x
_atom_site_fract_y
_atom_site_fract_z
_atom_site_occupancy
Tm1 0.333 0.333 0.167 1
Tm2 0.167 0.167 0.333 1
Tm3 0.917 0.917 0.083 1
Tm4 0.083 0.083 0.917 1
Tm5 0.000 0.000 0.500 1
Tm6 0.500 0.500 0.000 1
Tm7 0.250 0.250 0.750 1
Tm8 0.750 0.750 0.250 1
Te1 0.998 0.502 0.502 1
Te2 0.502 0.998 0.998 1
Te3 0.252 0.748 0.748 1
Te4 0.748 0.252 0.252 1
Te5 0.666 0.168 0.835 1
Te6 0.835 0.331 0.666 1
Te7 0.331 0.835 0.168 1
Te8 0.168 0.666 0.331 1
Te9 0.584 0.082 0.415 1
Te10 0.415 0.919 0.584 1
Te11 0.919 0.415 0.082 1
Te12 0.082 0.584 0.919 1
# ΔE_f (raw) ... -1.375 eV per atom

=====

9.
# Pa2OsPt, optimized geometry, DFT PBE-GGA
data_Pa2OsPt
_cell_length_a 4.274
_cell_length_b 5.739
_cell_length_c 7.544
_cell_angle_alpha 90.00
_cell_angle_beta 90.00
_cell_angle_gamma 90.00
_symmetry_space_group_name_H-M 'P 1'
_symmetry_Int_Tables_number 1
_symmetry_space_group_name_Hall 'P 1'
loop_
_atom_site_label
_atom_site_fract_x
_atom_site_fract_y
_atom_site_fract_z
_atom_site_occupancy
Pa1 0.000 0.263 0.334 1
Pa2 0.000 0.737 0.666 1
Pa3 0.500 0.237 0.834 1
Pa4 0.500 0.763 0.166 1
Os1 0.500 0.500 0.500 1
Os2 0.000 0.000 0.000 1
Pt1 0.000 0.500 0.000 1
Pt2 0.500 0.000 0.500 1
# Fermi-level density of states ... 1.618 states/eV per atom
# Energy above the lowest structure with this stoichiometry ... 0.0000 eV/atom
# Energy of formation from the pure elements ... -0.611 eV per atom

=====

10.
# LiBiHPb2, optimized geometry, DFT PBE-GGA
data_LiBiHPb2
_cell_length_a 5.173
_cell_length_b 5.173
_cell_length_c 4.416
_cell_angle_alpha 90.00
_cell_angle_beta 90.00
_cell_angle_gamma 90.00
_symmetry_space_group_name_H-M 'P 1'
_symmetry_Int_Tables_number 1
_symmetry_space_group_name_Hall 'P 1'
loop_
_atom_site_label
_atom_site_fract_x
_atom_site_fract_y
_atom_site_fract_z
_atom_site_occupancy
Pb1 0.000 0.500 0.000 1
Pb2 0.500 0.000 0.000 1
H1 0.000 0.000 0.000 1
Bi1 0.500 0.500 0.500 1
Li1 0.000 0.000 0.500 1
# Fermi-level density of states ... 0.281 states/eV per atom
# Energy above the lowest structure with this stoichiometry ... 0.0000 eV/atom

=====

Number 1: final energy -6.177 eV/atom, volume 75 Å³/cell. Number 2: final energy -2.357 eV/atom, volume 80 Å³/cell. Number 3: final energy -6.576 eV/atom, volume 89 Å³/cell. Number 4: final energy -3.184 eV/atom, volume 563 Å³/cell. Number 5: final energy -4.594 eV/atom, volume 65 Å³/cell. Number 6: final energy -4.865 eV/atom, volume 589 Å³/cell. Number 7: final energy -9.175 eV/atom, volume 76 Å³/cell. Number 8: final energy -5.049 eV/atom, volume 682 Å³/cell. Number 9: final energy -9.676 eV/atom, volume 185 Å³/cell. Number 10: final energy -3.293 eV/atom, volume 118 Å³/cell.